[1]
{
  "formula": "Li2NbVN4",
  "functional": "GGA-PBE",
  "state": "optimized geometry",
  "formation_energy_uncorrected_mev_per_atom": -372,
  "spacegroup": "Cmcm, No. 63",
  "lattice_angstrom": [[-0.314, 2.684, 1.120], [-3.697, -3.106, 2.590], [7.060, -2.252, 7.376]],
  "species": ["N", "N", "Nb", "N", "V", "V", "Li", "N", "N", "N", "Li", "Nb", "Li", "Li", "N", "N"],
  "fractional_positions": [[0.259, 0.518, 0.134], [0.000, 0.000, 0.500], [0.140, 0.281, 0.750], [0.516, 0.031, 0.250], [0.874, 0.748, 0.750], [0.126, 0.252, 0.250], [0.362, 0.724, 0.978], [0.000, 0.000, 0.000], [0.741, 0.482, 0.866], [0.484, 0.969, 0.750], [0.638, 0.276, 0.478], [0.860, 0.719, 0.250], [0.638, 0.276, 0.022], [0.362, 0.724, 0.522], [0.259, 0.518, 0.366], [0.741, 0.482, 0.634]]
}

***

[2]
{
  "formula": "BaAlIn2",
  "functional": "GGA-PBE",
  "state": "optimized geometry",
  "spacegroup": "Cmmm, No. 65",
  "ef_ev_per_atom": -0.1673,
  "lattice_angstrom": [[-0.941, -1.697, -3.327], [1.770, -3.170, 1.294], [-6.747, -2.474, 3.171]],
  "species": ["In", "In", "Al", "Ba"],
  "fractional_positions": [[0.000, 0.000, 0.059], [0.000, 0.000, 0.441], [0.500, 0.500, 0.250], [0.500, 0.500, 0.750]]
}

***

[3]
{
  "formula": "SrMnAl2",
  "functional": "GGA-PBE",
  "state": "optimized geometry",
  "spacegroup": "R3m, No. 160",
  "ef_ev_per_atom": -0.0087,
  "lattice_angstrom": [[-1.055, -3.564, -2.397], [1.741, -0.550, -4.028], [4.693, -4.257, 0.177]],
  "species": ["Mn", "Al", "Al", "Sr"],
  "fractional_positions": [[0.432, 0.432, 0.702], [0.051, 0.051, 0.847], [0.772, 0.772, 0.684], [0.245, 0.245, 0.266]]
}

***

[4]
{
  "formula": "KNd2Te4Pb",
  "functional": "GGA-PBE",
  "state": "optimized geometry",
  "formation_energy_uncorrected_mev_per_atom": -1007,
  "spacegroup": "Cmcm, No. 63",
  "lattice_angstrom": [[4.590, 0.000, 0.000], [-2.295, 7.867, 0.000], [0.000, 0.000, 16.662]],
  "species": ["Pb", "Te", "Nd", "Te", "Te", "Te", "Nd", "Nd", "Te", "Te", "K", "K", "Pb", "Te", "Te", "Nd"],
  "fractional_positions": [[0.857, 0.714, 0.750], [0.479, 0.958, 0.750], [0.625, 0.251, 0.438], [0.730, 0.460, 0.600], [0.000, 0.000, 0.000], [0.521, 0.042, 0.250], [0.625, 0.251, 0.062], [0.375, 0.749, 0.562], [0.730, 0.460, 0.900], [0.270, 0.540, 0.100], [0.143, 0.286, 0.750], [0.857, 0.714, 0.250], [0.143, 0.286, 0.250], [0.270, 0.540, 0.400], [0.000, 0.000, 0.500], [0.375, 0.749, 0.938]]
}

***

[5]
{
  "formula": "TlZn2Cr",
  "functional": "GGA-PBE",
  "state": "optimized geometry",
  "e_above_lowest_polymorph_ev_per_fu": 0.09,
  "spacegroup": "Pmm2, No. 25",
  "ef_ev_per_atom": 0.3446,
  "lattice_angstrom": [[3.377, 0.000, 0.000], [0.000, 3.367, 0.000], [0.000, 0.000, 6.448]],
  "species": ["Cr", "Zn", "Zn", "Tl"],
  "fractional_positions": [[0.000, 0.000, 0.461], [0.000, 0.000, 0.043], [0.500, 0.500, 0.249], [0.500, 0.500, 0.746]]
}

***

[6]
{
  "formula": "Np3As4Pd4",
  "functional": "GGA-PBE",
  "state": "optimized geometry",
  "e_above_lowest_polymorph_ev_per_fu": 0.00,
  "spacegroup": "Immm, No. 71",
  "ef_ev_per_atom": -0.6113,
  "lattice_angstrom": [[3.961, 0.000, -0.985], [-0.934, 6.650, -3.755], [-0.122, 0.029, 7.963]],
  "species": ["Pd", "Pd", "Np", "Np", "Np", "As", "Pd", "As", "As", "As", "Pd"],
  "fractional_positions": [[0.682, 0.493, 0.365], [0.318, 0.507, 0.635], [0.104, 0.104, 0.207], [0.000, 0.500, 0.000], [0.896, 0.896, 0.793], [0.772, 0.272, 0.544], [0.682, 0.872, 0.365], [0.228, 0.728, 0.456], [0.500, 0.774, 0.000], [0.500, 0.226, 0.000], [0.318, 0.128, 0.635]]
}

***

[7]
{
  "formula": "Tb5Nd5Tm2",
  "functional": "GGA-PBE",
  "state": "optimized geometry",
  "spacegroup": "C2/m, No. 12",
  "ef_ev_per_atom": 0.0189,
  "lattice_angstrom": [[4.971, 0.000, 1.062], [2.191, 7.505, 1.909], [0.295, 0.626, 10.783]],
  "species": ["Nd", "Tb", "Tb", "Tm", "Nd", "Nd", "Tm", "Nd", "Tb", "Tb", "Tb", "Nd"],
  "fractional_positions": [[0.165, 0.170, 0.501], [0.582, 0.086, 0.751], [0.333, 0.334, 0.000], [0.083, 0.585, 0.248], [0.835, 0.830, 0.499], [0.251, 0.747, 0.751], [0.917, 0.415, 0.752], [0.000, 0.000, 0.000], [0.418, 0.914, 0.249], [0.667, 0.666, 0.000], [0.500, 0.500, 0.500], [0.749, 0.253, 0.249]]
}

***

[8]
{
  "formula": "Na2AcUSe6",
  "functional": "GGA-PBE",
  "state": "optimized geometry",
  "formation_energy_uncorrected_mev_per_atom": -1117,
  "spacegroup": "P2_1/c, No. 14",
  "lattice_angstrom": [[-3.357, 5.639, 3.326], [-5.791, -0.253, -5.416], [-5.166, -6.728, 5.838]],
  "species": ["Se", "Na", "Se", "Na", "Se", "Se", "Se", "Se", "Se", "Se", "U", "Ac", "Na", "Na", "Se", "Ac", "Se", "U", "Se", "Se"],
  "fractional_positions": [[0.665, 0.286, 0.588], [0.532, 0.591, 0.747], [0.340, 0.940, 0.727], [0.468, 0.409, 0.253], [0.290, 0.682, 0.082], [0.710, 0.318, 0.918], [0.210, 0.182, 0.418], [0.160, 0.440, 0.773], [0.660, 0.060, 0.273], [0.165, 0.214, 0.088], [0.500, 0.000, 0.500], [0.500, 0.000, 0.000], [0.032, 0.909, 0.247], [0.968, 0.091, 0.753], [0.335, 0.714, 0.412], [0.000, 0.500, 0.500], [0.835, 0.786, 0.912], [0.000, 0.500, 0.000], [0.840, 0.560, 0.227], [0.790, 0.818, 0.582]]
}

***

[9]
{
  "formula": "CoOsSe4",
  "functional": "GGA-PBE",
  "state": "optimized geometry",
  "formation_energy_uncorrected_mev_per_atom": -216,
  "e_above_lowest_polymorph_ev_per_fu": 0.00,
  "spacegroup": "P2_1/c, No. 14",
  "lattice_angstrom": [[5.960, 0.000, -0.037], [0.000, 5.963, 0.000], [0.051, 0.000, 5.916]],
  "species": ["Os", "Co", "Se", "Se", "Se", "Os", "Se", "Co", "Se", "Se", "Se", "Se"],
  "fractional_positions": [[0.000, 0.500, 0.500], [0.000, 0.000, 0.000], [0.122, 0.878, 0.628], [0.124, 0.373, 0.880], [0.378, 0.378, 0.372], [0.500, 0.000, 0.500], [0.376, 0.873, 0.120], [0.500, 0.500, 0.000], [0.624, 0.127, 0.880], [0.622, 0.622, 0.628], [0.876, 0.627, 0.120], [0.878, 0.122, 0.372]]
}

***

[10]
{
  "formula": "Ac3RhAu3",
  "functional": "GGA-PBE",
  "state": "optimized geometry",
  "spacegroup": "Imm2, No. 44",
  "ef_ev_per_atom": -0.7718,
  "lattice_angstrom": [[-0.472, 0.552, -4.613], [-2.638, -3.289, -0.124], [-6.301, 7.610, 3.920]],
  "species": ["Au", "Ac", "Rh", "Ac", "Au", "Ac", "Au"],
  "fractional_positions": [[0.849, 0.349, 0.698], [0.684, 0.184, 0.367], [0.430, 0.430, 0.860], [0.993, 0.993, 0.986], [0.156, 0.656, 0.312], [0.326, 0.826, 0.651], [0.563, 0.563, 0.126]]
}

***

[11]
{
  "formula": "MgGa2Au6",
  "functional": "GGA-PBE",
  "state": "optimized geometry",
  "spacegroup": "C2/c, No. 15",
  "ef_ev_per_atom": -0.2235,
  "lattice_angstrom": [[4.260, 0.100, 0.476], [0.626, 8.391, 4.603], [0.256, 0.506, 9.575]],
  "species": ["Au", "Mg", "Ga", "Ga", "Au", "Au", "Au", "Au", "Au", "Au", "Au", "Ga", "Au", "Mg", "Au", "Ga", "Au", "Au"],
  "fractional_positions": [[0.204, 0.009, 0.215], [0.750, 0.867, 0.133], [0.608, 0.505, 0.180], [0.392, 0.495, 0.820], [0.041, 0.551, 0.324], [0.296, 0.785, 0.991], [0.150, 0.356, 0.142], [0.459, 0.676, 0.449], [0.650, 0.142, 0.356], [0.796, 0.991, 0.785], [0.541, 0.324, 0.551], [0.108, 0.180, 0.505], [0.350, 0.858, 0.644], [0.250, 0.133, 0.867], [0.850, 0.644, 0.858], [0.892, 0.820, 0.495], [0.704, 0.215, 0.009], [0.959, 0.449, 0.676]]
}

***

[12]
{
  "formula": "DyScGaRu",
  "functional": "GGA-PBE",
  "state": "optimized geometry",
  "spacegroup": "F-43m, No. 216",
  "ef_ev_per_atom": -0.4954,
  "lattice_angstrom": [[-2.198, -1.771, -3.873], [0.350, -4.668, -1.030], [-3.814, -2.858, 0.505]],
  "species": ["Sc", "Dy", "Ga", "Ru"],
  "fractional_positions": [[0.000, 0.000, 0.000], [0.500, 0.500, 0.500], [0.250, 0.250, 0.250], [0.750, 0.750, 0.750]]
}

***

[13]
{
  "formula": "UPaTl2O8",
  "functional": "GGA-PBE",
  "state": "optimized geometry",
  "formation_energy_uncorrected_mev_per_atom": -2265,
  "spacegroup": "Cmmm, No. 65",
  "lattice_angstrom": [[-4.032, -1.727, 2.833], [-1.561, -2.661, -4.214], [3.857, -5.574, 2.091]],
  "species": ["U", "O", "O", "O", "O", "O", "Tl", "Tl", "O", "Pa", "O", "O"],
  "fractional_positions": [[0.000, 0.000, 0.000], [0.170, 0.829, 0.759], [0.284, 0.283, 0.000], [0.707, 0.708, 0.500], [0.293, 0.292, 0.500], [0.830, 0.171, 0.759], [0.500, 0.500, 0.751], [0.500, 0.500, 0.249], [0.716, 0.717, 0.000], [0.000, 0.000, 0.500], [0.830, 0.171, 0.241], [0.170, 0.829, 0.241]]
}

***

[14]
{
  "formula": "Ac3Al2Ag",
  "functional": "GGA-PBE",
  "state": "optimized geometry",
  "spacegroup": "P4/mmm, No. 123",
  "ef_ev_per_atom": -0.2306,
  "lattice_angstrom": [[3.927, 0.000, 0.000], [0.000, 3.927, 0.000], [0.000, 0.000, 12.038]],
  "species": ["Al", "Ag", "Ac", "Ac", "Ac", "Al"],
  "fractional_positions": [[0.500, 0.500, 0.167], [0.500, 0.500, 0.500], [0.000, 0.000, 0.671], [0.000, 0.000, 0.000], [0.000, 0.000, 0.329], [0.500, 0.500, 0.833]]
}

***

[15]
{
  "formula": "Sm5HoSc4",
  "functional": "GGA-PBE",
  "state": "optimized geometry",
  "e_above_lowest_polymorph_ev_per_fu": 0.00,
  "spacegroup": "P4/mmm, No. 123",
  "ef_ev_per_atom": 0.0453,
  "lattice_angstrom": [[-1.537, -3.097, 0.786], [3.148, -1.618, -0.218], [3.633, 3.988, 22.827]],
  "species": ["Sm", "Sm", "Sc", "Sm", "Sc", "Sc", "Sm", "Ho", "Sc", "Sm"],
  "fractional_positions": [[0.500, 0.500, 0.500], [0.500, 0.500, 0.108], [0.000, 0.000, 0.206], [0.500, 0.500, 0.892], [0.000, 0.000, 0.402], [0.000, 0.000, 0.598], [0.500, 0.500, 0.696], [0.000, 0.000, 0.000], [0.000, 0.000, 0.794], [0.500, 0.500, 0.304]]
}

***

[16]
{
  "formula": "CeCuPb",
  "functional": "GGA-PBE",
  "state": "optimized geometry",
  "spacegroup": "P6_3mc, No. 186",
  "ef_ev_per_atom": -0.2852,
  "lattice_angstrom": [[4.724, 0.000, 0.000], [-2.362, 4.091, 0.000], [0.000, 0.000, 7.550]],
  "species": ["Cu", "Cu", "Pb", "Ce", "Pb", "Ce"],
  "fractional_positions": [[0.333, 0.667, 0.682], [0.667, 0.333, 0.182], [0.667, 0.333, 0.766], [0.000, 0.000, 0.500], [0.333, 0.667, 0.266], [0.000, 0.000, 0.000]]
}

***

[17]
{
  "formula": "Tb4ScCd",
  "functional": "GGA-PBE",
  "state": "optimized geometry",
  "e_above_lowest_polymorph_ev_per_fu": 0.00,
  "spacegroup": "P4/mmm, No. 123",
  "ef_ev_per_atom": -0.0764,
  "lattice_angstrom": [[-0.177, -0.372, 3.509], [3.076, -1.738, -0.029], [6.789, 11.992, 1.613]],
  "species": ["Tb", "Tb", "Tb", "Cd", "Tb", "Sc"],
  "fractional_positions": [[0.000, 0.000, 0.347], [0.500, 0.500, 0.167], [0.500, 0.500, 0.833], [0.500, 0.500, 0.500], [0.000, 0.000, 0.653], [0.000, 0.000, 0.000]]
}

***

[18]
{
  "formula": "MgSc5",
  "functional": "GGA-PBE",
  "state": "optimized geometry",
  "e_above_lowest_polymorph_ev_per_fu": 0.19,
  "spacegroup": "P-62m, No. 189",
  "ef_ev_per_atom": 0.0351,
  "lattice_angstrom": [[5.668, 0.000, 0.000], [-2.834, 4.909, 0.000], [0.000, 0.000, 5.240]],
  "species": ["Sc", "Sc", "Sc", "Mg", "Sc", "Sc"],
  "fractional_positions": [[0.667, 0.667, 0.500], [0.333, 0.672, 0.000], [0.661, 0.328, 0.000], [0.333, 0.000, 0.500], [0.006, 0.000, 0.000], [0.000, 0.333, 0.500]]
}

***

[19]
{
  "formula": "Ac2PbAu6",
  "functional": "GGA-PBE",
  "state": "optimized geometry",
  "e_above_lowest_polymorph_ev_per_fu": 0.21,
  "spacegroup": "P6/mmm, No. 191",
  "ef_ev_per_atom": -0.5701,
  "lattice_angstrom": [[-0.561, -3.027, 2.421], [0.923, -5.254, -6.355], [6.605, 2.334, 4.447]],
  "species": ["Au", "Au", "Ac", "Au", "Ac", "Pb", "Au", "Au", "Au"],
  "fractional_positions": [[0.500, 0.000, 0.667], [0.500, 0.667, 0.667], [0.000, 0.333, 0.667], [0.500, 0.333, 0.333], [0.000, 0.667, 0.333], [0.000, 0.000, 0.000], [0.500, 0.000, 0.333], [0.500, 0.333, 0.000], [0.500, 0.667, 0.000]]
}

***

[20]
{
  "formula": "AcTbCeGa",
  "functional": "GGA-PBE",
  "state": "optimized geometry",
  "spacegroup": "F-43m, No. 216",
  "ef_ev_per_atom": 0.0516,
  "lattice_angstrom": [[5.486, 0.000, 0.000], [2.743, 4.751, 0.000], [2.743, 1.584, 4.480]],
  "species": ["Ga", "Ce", "Tb", "Ac"],
  "fractional_positions": [[0.500, 0.500, 0.500], [0.250, 0.250, 0.250], [0.750, 0.750, 0.750], [0.000, 0.000, 0.000]]
}

***

[21]
{
  "formula": "TbSc2Te",
  "functional": "GGA-PBE",
  "state": "optimized geometry",
  "formation_energy_uncorrected_mev_per_atom": -642,
  "e_above_lowest_polymorph_ev_per_fu": 0.00,
  "spacegroup": "Cmcm, No. 63",
  "lattice_angstrom": [[-2.128, -3.133, -0.694], [2.413, -0.511, 5.593], [-7.336, 4.197, 3.548]],
  "species": ["Te", "Sc", "Sc", "Te", "Tb", "Tb", "Sc", "Sc"],
  "fractional_positions": [[0.766, 0.533, 0.750], [0.637, 0.273, 0.464], [0.637, 0.273, 0.036], [0.234, 0.467, 0.250], [0.050, 0.099, 0.750], [0.950, 0.901, 0.250], [0.363, 0.727, 0.536], [0.363, 0.727, 0.964]]
}

***

[22]
{
  "formula": "BaMnBe2",
  "functional": "GGA-PBE",
  "state": "optimized geometry",
  "e_above_lowest_polymorph_ev_per_fu": 2.96,
  "spacegroup": "F-43m, No. 216",
  "ef_ev_per_atom": 1.0340,
  "lattice_angstrom": [[4.877, 0.000, 0.000], [2.438, 4.223, 0.000], [2.438, 1.408, 3.982]],
  "species": ["Be", "Be", "Ba", "Mn"],
  "fractional_positions": [[0.000, 0.000, 0.000], [0.250, 0.250, 0.250], [0.500, 0.500, 0.500], [0.750, 0.750, 0.750]]
}

***

[23]
{
  "formula": "Li2Y",
  "functional": "GGA-PBE",
  "state": "optimized geometry",
  "e_above_lowest_polymorph_ev_per_fu": 0.03,
  "spacegroup": "I4/mmm, No. 139",
  "ef_ev_per_atom": 0.1161,
  "lattice_angstrom": [[-3.037, -1.422, 1.413], [1.432, -3.334, -0.277], [2.867, 2.856, 4.350]],
  "species": ["Y", "Li", "Li"],
  "fractional_positions": [[0.000, 0.000, 0.000], [0.690, 0.690, 0.381], [0.310, 0.310, 0.619]]
}

***

[24]
{
  "formula": "TlCd2InPb",
  "functional": "GGA-PBE",
  "state": "optimized geometry",
  "spacegroup": "P2_1/m, No. 11",
  "ef_ev_per_atom": 0.0511,
  "lattice_angstrom": [[3.297, 0.000, 0.000], [0.000, 8.342, -1.439], [0.000, -4.953, 11.090]],
  "species": ["Pb", "Cd", "Cd", "In", "Tl", "Tl", "In", "Cd", "Pb", "Cd"],
  "fractional_positions": [[0.250, 0.222, 0.572], [0.750, 0.526, 0.116], [0.250, 0.474, 0.884], [0.750, 0.808, 0.916], [0.750, 0.074, 0.778], [0.250, 0.926, 0.222], [0.250, 0.192, 0.084], [0.750, 0.613, 0.625], [0.750, 0.778, 0.428], [0.250, 0.387, 0.375]]
}

***

no.,calculated density (g/cm3),E (eV per atom)
1,4.40,-7.412
2,5.61,-2.953
3,3.32,-4.593
4,5.77,-4.371
5,8.77,-3.290
6,11.39,-7.720
7,7.78,-4.642
8,5.44,-5.011
9,8.92,-5.595
10,11.42,-4.987
11,13.50,-3.258
12,8.07,-6.304
13,8.64,-7.697
14,7.54,-4.008
15,6.17,-5.305
16,9.35,-4.865
17,7.60,-4.371
18,2.84,-5.507
19,13.10,-4.080
20,8.47,-4.373
21,6.11,-5.750
22,4.26,-3.602
23,2.41,-3.314
24,8.86,-2.078